A relaxed structure of Be3CdCl, computed with GGA-PBE.

Cell: 4.285 4.285 4.285 Å, 90.00 90.00 90.00°
Space group Pm-3m (No. 221)
Symmetry-distinct sites (fractional):
1 Be 0.000 0.000 0.500
2 Cd 0.500 0.500 0.500
3 Cl 0.000 0.000 0.000

Crystal system: cubic
Energy relative to the elements, uncorrected, eV/atom: 1.123

***

A relaxed structure of HfRePOs, computed with GGA-PBE.

Cell: 3.867 2.999 10.725 Å, 90.00 90.00 90.00°
Space group Amm2 (No. 38)
Symmetry-distinct sites (fractional):
1 Hf 0.000 0.000 0.000
2 Re 0.000 0.000 0.261
3 P 0.500 0.000 0.405
4 Os 0.500 0.000 0.646

ΔH_f (0 K), kJ/mol of formula units: -87
Crystal system: orthorhombic

***

A relaxed structure of Al2CoCu, computed with GGA-PBE.

Cell: 5.835 5.835 5.835 Å, 90.00 90.00 90.00°
Space group Fm-3m (No. 225)
Symmetry-distinct sites (fractional):
1 Al 0.250 0.250 0.250
2 Co 0.000 0.000 0.000
3 Cu 0.000 0.000 0.500

ΔH_f (0 K), kJ/mol of formula units: -145
Crystal system: cubic

***

A relaxed structure of B3Ru7, computed with GGA-PBE.

Cell: 7.5206 7.5206 4.7518 Å, 90.00 90.00 120.00°
Space group P6_3mc (No. 186)
Symmetry-distinct sites (fractional):
1 B 0.1893 0.3787 0.0000
2 Ru 0.0870 0.5435 0.7373
3 Ru 0.1224 0.2448 0.4112
4 Ru 0.3333 0.6667 0.2388

ΔH_f (0 K), kJ/mol of formula units: -131
Crystal system: hexagonal

***

A relaxed structure of Tl2SiPbAu6, computed with GGA-PBE.

Cell: 6.802 8.458 8.510 Å, 90.00 90.00 90.00°
Space group Pmmn (No. 59, origin choice 2)
Symmetry-distinct sites (fractional):
1 Tl 0.250 0.050 0.197
2 Si 0.250 0.250 0.740
3 Pb 0.250 0.750 0.792
4 Au 0.031 0.750 0.083
5 Au 0.043 0.750 0.447
6 Au 0.250 0.010 0.573

Crystal system: orthorhombic
Energy relative to the elements, uncorrected, eV/atom: 0.012

***

A relaxed structure of NpAgPbCl6, computed with GGA-PBE.

Cell: 6.9159 6.9159 13.1466 Å, 90.00 90.00 120.00°
Space group P-31c (No. 163)
Symmetry-distinct sites (fractional):
1 Np 0.3333 0.6667 0.2500
2 Ag 0.3333 0.6667 0.7500
3 Pb 0.0000 0.0000 0.0000
4 Cl 0.0055 0.3495 0.1286

Crystal system: trigonal
Energy relative to the elements, uncorrected, eV/atom: -1.232

***

A relaxed structure of Pm2Y2Ho3, computed with GGA-PBE.

Cell: 9.754 9.754 9.754 Å, 90.00 90.00 90.00°
Space group I2_13 (No. 199)
Symmetry-distinct sites (fractional):
1 Pm 0.156 0.344 0.656
2 Y 0.044 0.044 0.044
3 Ho 0.000 0.250 0.309

ΔH_f (0 K), kJ/mol of formula units: 155
Crystal system: cubic

***

A relaxed structure of CaMgCl, computed with GGA-PBE.

Cell: 3.8349 3.8349 7.4125 Å, 90.00 90.00 120.00°
Space group P3m1 (No. 156)
Symmetry-distinct sites (fractional):
1 Ca 0.0000 0.0000 0.0000
2 Mg 0.3333 0.6667 0.6537
3 Cl 0.6667 0.3333 0.2225

Crystal system: trigonal
Energy relative to the elements, uncorrected, eV/atom: -0.888

***

For reference, raw total energy by record: -8.32 -39.94 -20.19 -86.33 -33.40 -41.67 -34.55 -8.11 eV/f.u..
For reference, size of the total moment by record: 0.00 0.00 0.00 0.00 0.00 8.00 0.00 0.00 Bohr magnetons per cell.